This record from the Alexandria database describes CsSbPb after structural relaxation. The functional is PBE.

Cell lengths 7.430, 7.430, 9.406 Å; angles 119.69, 119.69, 36.83 degrees
Fractional positions:
1 Cs 0.060 0.060 0.338
2 Cs 0.940 0.940 0.662
3 Sb 0.311 0.311 0.258
4 Sb 0.689 0.689 0.742
5 Pb 0.338 0.338 0.947
6 Pb 0.662 0.662 0.053

Results
* energy relative to the elements, uncorrected: -334 meV/atom
* energy: -3.23 eV/atom
* space-group type: C2/m (12)